# 1
! YMg2Tc GGA-PBE optimized geometry; values from VASP
! * crystal system: tetragonal
! * energy relative to the elements: 47.3 kJ/mol of atoms
! * space group: I-42d
&SYSTEM
  ibrav = 0, nat = 8, ntyp = 3
/
ATOMIC_SPECIES
Mg 24.30 Mg.upf
Y 88.91 Y.upf
Tc 98.00 Tc.upf
CELL_PARAMETERS angstrom
4.107 0.000 0.000
0.000 4.107 0.000
2.054 2.054 10.637
ATOMIC_POSITIONS crystal
Mg 0.656 0.125 0.250
Mg 0.094 0.625 0.250
Mg 0.375 0.344 0.750
Y 0.500 0.500 0.000
Y 0.250 0.750 0.500
Tc 0.750 0.250 0.500
Tc 0.000 0.000 0.000
Mg 0.875 0.906 0.750

---

# 2
! Y5Mg2Tc2 GGA-PBE optimized geometry; values from VASP
! * crystal system: orthorhombic
! * energy relative to the elements: -1.3 kJ/mol of atoms
! * space group: Cmce
&SYSTEM
  ibrav = 0, nat = 18, ntyp = 3
/
ATOMIC_SPECIES
Tc 98.00 Tc.upf
Y 88.91 Y.upf
Mg 24.30 Mg.upf
CELL_PARAMETERS angstrom
-7.363 0.426 0.063
-0.247 -5.094 5.491
-3.255 6.687 6.057
ATOMIC_POSITIONS crystal
Tc 0.891 0.616 0.000
Tc 0.391 0.884 0.000
Y 0.699 0.315 0.233
Y 0.000 0.000 0.000
Mg 0.732 0.500 0.536
Y 0.199 0.185 0.233
Tc 0.609 0.116 0.000
Mg 0.268 0.500 0.464
Mg 0.232 0.000 0.536
Y 0.068 0.685 0.233
Y 0.301 0.685 0.767
Y 0.500 0.500 0.000
Tc 0.109 0.384 0.000
Y 0.801 0.815 0.767
Y 0.568 0.815 0.233
Y 0.432 0.185 0.767
Y 0.932 0.315 0.767
Mg 0.768 0.000 0.464

---

# 3
! YMgTc2 GGA-PBE optimized geometry; values from VASP
! * crystal system: monoclinic
! * energy relative to the elements: 15.7 kJ/mol of atoms
! * space group: Pm
&SYSTEM
  ibrav = 0, nat = 4, ntyp = 3
/
ATOMIC_SPECIES
Mg 24.30 Mg.upf
Tc 98.00 Tc.upf
Y 88.91 Y.upf
CELL_PARAMETERS angstrom
4.238 0.000 0.000
0.000 3.216 0.001
0.000 1.732 5.790
ATOMIC_POSITIONS crystal
Mg 0.500 0.786 0.798
Tc 0.000 0.099 0.022
Tc 0.500 0.148 0.208
Y 0.000 0.468 0.472

---

# 4
! Y3MgTc GGA-PBE optimized geometry; values from VASP
! * crystal system: monoclinic
! * energy relative to the elements: 0.9 kJ/mol of atoms
! * space group: P2_1/c
&SYSTEM
  ibrav = 0, nat = 20, ntyp = 3
/
ATOMIC_SPECIES
Tc 98.00 Tc.upf
Mg 24.30 Mg.upf
Y 88.91 Y.upf
CELL_PARAMETERS angstrom
7.531 0.000 -3.704
0.000 7.911 0.000
-0.136 0.000 8.893
ATOMIC_POSITIONS crystal
Tc 0.444 0.294 0.890
Mg 0.280 0.966 0.660
Mg 0.220 0.466 0.340
Y 0.410 0.601 0.737
Y 0.808 0.463 0.029
Y 0.692 0.963 0.971
Y 0.058 0.286 0.624
Mg 0.780 0.534 0.660
Tc 0.056 0.794 0.110
Y 0.942 0.714 0.376
Y 0.590 0.399 0.263
Tc 0.944 0.206 0.890
Y 0.308 0.037 0.029
Y 0.558 0.214 0.624
Mg 0.720 0.034 0.340
Tc 0.556 0.706 0.110
Y 0.192 0.537 0.971
Y 0.910 0.899 0.737
Y 0.090 0.101 0.263
Y 0.442 0.786 0.376

---

# 5
! YMgTc2 GGA-PBE optimized geometry; values from VASP
! * crystal system: orthorhombic
! * energy relative to the elements: 43.8 kJ/mol of atoms
! * space group: Cmmm
&SYSTEM
  ibrav = 0, nat = 4, ntyp = 3
/
ATOMIC_SPECIES
Tc 98.00 Tc.upf
Y 88.91 Y.upf
Mg 24.30 Mg.upf
CELL_PARAMETERS angstrom
-0.299 5.389 0.218
-1.559 -2.505 4.525
2.582 0.105 0.948
ATOMIC_POSITIONS crystal
Tc 0.500 0.500 0.000
Tc 0.000 0.000 0.000
Y 0.500 0.000 0.500
Mg 0.000 0.500 0.500

---

# 6
! YMgTc GGA-PBE optimized geometry; values from VASP
! * crystal system: orthorhombic
! * energy relative to the elements: 27.4 kJ/mol of atoms
! * space group: Fmm2
&SYSTEM
  ibrav = 0, nat = 3, ntyp = 3
/
ATOMIC_SPECIES
Y 88.91 Y.upf
Mg 24.30 Mg.upf
Tc 98.00 Tc.upf
CELL_PARAMETERS angstrom
-5.781 3.943 1.996
-5.794 1.438 3.854
1.128 2.299 1.781
ATOMIC_POSITIONS crystal
Y 0.688 0.688 0.312
Mg 0.977 0.977 0.023
Tc 0.335 0.335 0.665

---

# 7
! YMg2Tc GGA-PBE optimized geometry; values from VASP
! * crystal system: monoclinic
! * energy relative to the elements: 20.7 kJ/mol of atoms
! * space group: Pm
&SYSTEM
  ibrav = 0, nat = 4, ntyp = 3
/
ATOMIC_SPECIES
Mg 24.30 Mg.upf
Y 88.91 Y.upf
Tc 98.00 Tc.upf
CELL_PARAMETERS angstrom
-4.367 -0.320 -1.237
0.832 -1.638 -2.512
-0.102 -5.934 1.896
ATOMIC_POSITIONS crystal
Mg 0.000 0.040 0.049
Y 0.500 0.709 0.704
Mg 0.500 0.444 0.245
Tc 0.000 0.306 0.502

---

# 8
! YMgTc2 GGA-PBE optimized geometry; values from VASP
! * crystal system: tetragonal
! * energy relative to the elements: 46.0 kJ/mol of atoms
! * space group: P4/mmm
&SYSTEM
  ibrav = 0, nat = 4, ntyp = 3
/
ATOMIC_SPECIES
Tc 98.00 Tc.upf
Mg 24.30 Mg.upf
Y 88.91 Y.upf
CELL_PARAMETERS angstrom
2.808 0.000 0.000
0.000 2.808 0.000
0.000 0.000 9.180
ATOMIC_POSITIONS crystal
Tc 0.000 0.000 0.984
Tc 0.000 0.000 0.516
Mg 0.500 0.500 0.750
Y 0.500 0.500 0.250